A plane-wave DFT calculation with PBE was carried out for crystalline Mg3PbS at its relaxed geometry.

a = 5.2912 Å, b = 5.2912 Å, c = 5.2912 Å
α = 90.00°, β = 90.00°, γ = 90.00°
Last column: nearest neighbours and their distance in Å.
Fractional coordinates of all 5 atoms:
Mg 0.0000 0.0000 0.5000  2 Pb 2.65
Mg 0.0000 0.5000 0.0000  2 Pb 2.65
Mg 0.5000 0.0000 0.0000  2 Pb 2.65
Pb 0.0000 0.0000 0.0000  6 Mg 2.65
S 0.5000 0.5000 0.5000  12 Mg 3.74

Output
energy above the lowest structure with this stoichiometry: 509 meV/atom
magnetization: 0.000 μB/atom
volume: 148 Å³ per cell
E_form (uncorrected): 0.2007 eV/atom